1.
Pr4Cu3Bi8: optimized geometry, PBE.

```
data_Pr4Cu3Bi8
_symmetry_space_group_name_H-M 'P 1'
_symmetry_Int_Tables_number 1
_symmetry_space_group_name_Hall 'P 1'
_cell_length_a 4.6144
_cell_length_b 4.6144
_cell_length_c 19.6950
_cell_angle_alpha 90.00
_cell_angle_beta 90.00
_cell_angle_gamma 90.00
loop_
_atom_site_label
_atom_site_type_symbol
_atom_site_fract_x
_atom_site_fract_y
_atom_site_fract_z
Pr1 Pr 0.5000 0.0000 0.3801
Pr2 Pr 0.5000 0.0000 0.8861
Pr3 Pr 0.0000 0.5000 0.1139
Pr4 Pr 0.0000 0.5000 0.6199
Cu1 Cu 0.5000 0.5000 0.5000
Cu2 Cu 0.0000 0.0000 0.0000
Cu3 Cu 0.0000 0.0000 0.5000
Bi1 Bi 0.5000 0.0000 0.0719
Bi2 Bi 0.5000 0.0000 0.5800
Bi3 Bi 0.0000 0.5000 0.4200
Bi4 Bi 0.0000 0.5000 0.9281
Bi5 Bi 0.5000 0.5000 0.2476
Bi6 Bi 0.5000 0.5000 0.7524
Bi7 Bi 0.0000 0.0000 0.2471
Bi8 Bi 0.0000 0.0000 0.7529
```

- Space group: P-4m2, No. 115
- Formation energy from the elements: -0.525 eV/atom
- Total energy: -4.69 eV per atom

2.
W2Se: optimized geometry, PBE.

```
data_W2Se
_symmetry_space_group_name_H-M 'P 1'
_symmetry_Int_Tables_number 1
_symmetry_space_group_name_Hall 'P 1'
_cell_length_a 4.4245
_cell_length_b 4.4245
_cell_length_c 6.4580
_cell_angle_alpha 90.00
_cell_angle_beta 90.00
_cell_angle_gamma 120.00
loop_
_atom_site_label
_atom_site_type_symbol
_atom_site_fract_x
_atom_site_fract_y
_atom_site_fract_z
W1 W 0.6667 0.3333 0.4502
W2 W 0.3333 0.6667 0.9502
W3 W 0.3333 0.6667 0.5498
W4 W 0.6667 0.3333 0.0498
Se1 Se 0.0000 0.0000 0.2500
Se2 Se 0.0000 0.0000 0.7500
```

- Formation energy from raw total energies: 0.986 eV/atom
- Space group: P6_3/mmc, No. 194
- Total energy: -8.81 eV per atom

3.
Y4Zn3: optimized geometry, PBE.

```
data_Y4Zn3
_symmetry_space_group_name_H-M 'P 1'
_symmetry_Int_Tables_number 1
_symmetry_space_group_name_Hall 'P 1'
_cell_length_a 13.7265
_cell_length_b 13.7265
_cell_length_c 13.7265
_cell_angle_alpha 164.95
_cell_angle_beta 164.95
_cell_angle_gamma 21.34
loop_
_atom_site_label
_atom_site_type_symbol
_atom_site_fract_x
_atom_site_fract_y
_atom_site_fract_z
Y1 Y 0.8399 0.8399 0.0000
Y2 Y 0.5658 0.5658 0.0000
Y3 Y 0.4342 0.4342 0.0000
Y4 Y 0.1601 0.1601 0.0000
Zn1 Zn 0.0000 0.0000 0.0000
Zn2 Zn 0.7240 0.7240 0.0000
Zn3 Zn 0.2760 0.2760 0.0000
```

- Space group: I4/mmm, No. 139
- Formation energy from the elements: -0.170 eV/atom
- Total energy: -4.41 eV per atom

4.
Li2MnPRh: optimized geometry, PBE.

```
data_Li2MnPRh
_symmetry_space_group_name_H-M 'P 1'
_symmetry_Int_Tables_number 1
_symmetry_space_group_name_Hall 'P 1'
_cell_length_a 4.2978
_cell_length_b 4.2106
_cell_length_c 4.2978
_cell_angle_alpha 90.00
_cell_angle_beta 90.00
_cell_angle_gamma 90.00
loop_
_atom_site_label
_atom_site_type_symbol
_atom_site_fract_x
_atom_site_fract_y
_atom_site_fract_z
P1 P 0.0000 0.5000 0.0000
Mn1 Mn 0.0000 0.0000 0.0000
Rh1 Rh 0.5000 0.5000 0.5000
Li1 Li 0.0000 0.0000 0.5000
Li2 Li 0.5000 0.0000 0.0000
```

- Space group: P4/mmm, No. 123
- Formation energy from the elements: 0.543 eV/atom
- Total energy: -4.61 eV per atom

5.
YCu2Os: optimized geometry, PBE.

```
data_YCu2Os
_symmetry_space_group_name_H-M 'P 1'
_symmetry_Int_Tables_number 1
_symmetry_space_group_name_Hall 'P 1'
_cell_length_a 4.0701
_cell_length_b 4.0824
_cell_length_c 5.6400
_cell_angle_alpha 43.55
_cell_angle_beta 90.00
_cell_angle_gamma 90.00
loop_
_atom_site_label
_atom_site_type_symbol
_atom_site_fract_x
_atom_site_fract_y
_atom_site_fract_z
Cu1 Cu 0.0000 0.0000 0.0000
Cu2 Cu 0.5000 0.5000 0.0000
Os1 Os 0.5000 0.5000 0.5000
Y1 Y 0.0000 0.0000 0.5000
```

- Space group: P2/m, No. 10
- Formation energy from the elements: 0.132 eV/atom
- Total energy: -6.34 eV per atom

6.
Pm12Sn7Hg: optimized geometry, PBE.

```
data_Pm12Sn7Hg
_symmetry_space_group_name_H-M 'P 1'
_symmetry_Int_Tables_number 1
_symmetry_space_group_name_Hall 'P 1'
_cell_length_a 9.1394
_cell_length_b 9.1394
_cell_length_c 9.1394
_cell_angle_alpha 107.94
_cell_angle_beta 107.94
_cell_angle_gamma 107.94
loop_
_atom_site_label
_atom_site_type_symbol
_atom_site_fract_x
_atom_site_fract_y
_atom_site_fract_z
Pm1 Pm 0.7887 0.3291 0.6168
Pm2 Pm 0.6709 0.3832 0.2113
Pm3 Pm 0.3419 0.0276 0.2477
Pm4 Pm 0.9724 0.7523 0.6581
Pm5 Pm 0.3832 0.2113 0.6709
Pm6 Pm 0.7523 0.6581 0.9724
Pm7 Pm 0.2477 0.3419 0.0276
Pm8 Pm 0.6168 0.7887 0.3291
Pm9 Pm 0.0276 0.2477 0.3419
Pm10 Pm 0.6581 0.9724 0.7523
Pm11 Pm 0.3291 0.6168 0.7887
Pm12 Pm 0.2113 0.6709 0.3832
Sn1 Sn 0.1061 0.6400 0.9828
Sn2 Sn 0.3600 0.0172 0.8939
Sn3 Sn 0.0172 0.8939 0.3600
Sn4 Sn 0.5000 0.5000 0.5000
Sn5 Sn 0.9828 0.1061 0.6400
Sn6 Sn 0.6400 0.9828 0.1061
Sn7 Sn 0.8939 0.3600 0.0172
Hg1 Hg 0.0000 0.0000 0.0000
```

- Space group: R-3, No. 148
- Formation energy from the elements: -0.491 eV/atom
- Total energy: -4.76 eV per atom

7.
Y3HgO: optimized geometry, PBE.

```
data_Y3HgO
_symmetry_space_group_name_H-M 'P 1'
_symmetry_Int_Tables_number 1
_symmetry_space_group_name_Hall 'P 1'
_cell_length_a 8.7289
_cell_length_b 7.4618
_cell_length_c 7.1111
_cell_angle_alpha 53.89
_cell_angle_beta 54.68
_cell_angle_gamma 46.02
loop_
_atom_site_label
_atom_site_type_symbol
_atom_site_fract_x
_atom_site_fract_y
_atom_site_fract_z
Y1 Y 0.0826 0.4302 0.4867
Y2 Y 0.4379 0.2097 0.8570
Y3 Y 0.5065 0.6049 0.0009
Y4 Y 0.0140 0.0349 0.3428
Y5 Y 0.5641 0.6975 0.4020
Y6 Y 0.9564 0.9424 0.9417
Hg1 Hg 0.5816 0.0617 0.4381
Hg2 Hg 0.9389 0.5781 0.9056
O1 O 0.3733 0.8994 0.1565
O2 O 0.1471 0.7405 0.1872
```

- Formation energy from raw total energies: -1.348 eV/atom
- Space group: P-1, No. 2
- Total energy: -6.28 eV per atom

8.
HfBi2S5: optimized geometry, PBE.

```
data_HfBi2S5
_symmetry_space_group_name_H-M 'P 1'
_symmetry_Int_Tables_number 1
_symmetry_space_group_name_Hall 'P 1'
_cell_length_a 5.2805
_cell_length_b 5.3827
_cell_length_c 7.7395
_cell_angle_alpha 80.37
_cell_angle_beta 70.05
_cell_angle_gamma 60.63
loop_
_atom_site_label
_atom_site_type_symbol
_atom_site_fract_x
_atom_site_fract_y
_atom_site_fract_z
Hf1 Hf 0.5000 0.5000 0.5000
Bi1 Bi 0.8180 0.5000 0.8639
Bi2 Bi 0.1820 0.5000 0.1361
S1 S 0.1942 0.8317 0.7800
S2 S 0.4741 0.8317 0.2200
S3 S 0.0000 0.5000 0.5000
S4 S 0.8058 0.1683 0.2200
S5 S 0.5259 0.1683 0.7800
```

- Formation energy from raw total energies: -0.413 eV/atom
- Space group: Fmmm, No. 69
- Total energy: -5.21 eV per atom

9.
BaTc2Os: optimized geometry, PBE.

```
data_BaTc2Os
_symmetry_space_group_name_H-M 'P 1'
_symmetry_Int_Tables_number 1
_symmetry_space_group_name_Hall 'P 1'
_cell_length_a 4.6974
_cell_length_b 4.6974
_cell_length_c 4.6974
_cell_angle_alpha 60.00
_cell_angle_beta 60.00
_cell_angle_gamma 60.00
loop_
_atom_site_label
_atom_site_type_symbol
_atom_site_fract_x
_atom_site_fract_y
_atom_site_fract_z
Os1 Os 0.5000 0.5000 0.5000
Ba1 Ba 0.0000 0.0000 0.0000
Tc1 Tc 0.2500 0.2500 0.2500
Tc2 Tc 0.7500 0.7500 0.7500
```

- Space group: Fm-3m, No. 225
- Formation energy from the elements: 1.278 eV/atom
- Total energy: -7.19 eV per atom

10.
Sb2AsPb: optimized geometry, PBE.

```
data_Sb2AsPb
_symmetry_space_group_name_H-M 'P 1'
_symmetry_Int_Tables_number 1
_symmetry_space_group_name_Hall 'P 1'
_cell_length_a 6.2960
_cell_length_b 6.2960
_cell_length_c 3.2203
_cell_angle_alpha 79.86
_cell_angle_beta 79.86
_cell_angle_gamma 117.78
loop_
_atom_site_label
_atom_site_type_symbol
_atom_site_fract_x
_atom_site_fract_y
_atom_site_fract_z
Pb1 Pb 0.0000 0.5000 0.5000
Sb1 Sb 0.0000 0.0000 0.0000
Sb2 Sb 0.5000 0.5000 0.0000
As1 As 0.5000 0.0000 0.5000
```

- Formation energy from raw total energies: 0.255 eV/atom
- Space group: C2/m, No. 12
- Total energy: -3.90 eV per atom

11.
ScCrRh2: optimized geometry, PBE.

```
data_ScCrRh2
_symmetry_space_group_name_H-M 'P 1'
_symmetry_Int_Tables_number 1
_symmetry_space_group_name_Hall 'P 1'
_cell_length_a 5.0150
_cell_length_b 5.0150
_cell_length_c 5.0150
_cell_angle_alpha 135.03
_cell_angle_beta 135.07
_cell_angle_gamma 65.45
loop_
_atom_site_label
_atom_site_type_symbol
_atom_site_fract_x
_atom_site_fract_y
_atom_site_fract_z
Cr1 Cr 0.2500 0.7500 0.5000
Rh1 Rh 0.0001 0.0001 0.0000
Rh2 Rh 0.7500 0.2500 0.5000
Sc1 Sc 0.4999 0.4999 0.0000
```

- Space group: I-4m2, No. 119
- Formation energy from the elements: -0.324 eV/atom
- Total energy: -7.99 eV per atom

12.
Cs2KIrO6: optimized geometry, PBE.

```
data_Cs2KIrO6
_symmetry_space_group_name_H-M 'P 1'
_symmetry_Int_Tables_number 1
_symmetry_space_group_name_Hall 'P 1'
_cell_length_a 6.4650
_cell_length_b 6.4650
_cell_length_c 6.4650
_cell_angle_alpha 60.00
_cell_angle_beta 60.00
_cell_angle_gamma 60.00
loop_
_atom_site_label
_atom_site_type_symbol
_atom_site_fract_x
_atom_site_fract_y
_atom_site_fract_z
Cs1 Cs 0.7500 0.7500 0.7500
Cs2 Cs 0.2500 0.2500 0.2500
K1 K 0.5000 0.5000 0.5000
Ir1 Ir 0.0000 0.0000 0.0000
O1 O 0.2046 0.7954 0.7954
O2 O 0.2046 0.7954 0.2046
O3 O 0.2046 0.2046 0.7954
O4 O 0.7954 0.7954 0.2046
O5 O 0.7954 0.2046 0.2046
O6 O 0.7954 0.2046 0.7954
```

- Formation energy from raw total energies: -1.031 eV/atom
- Space group: Fm-3m, No. 225
- Total energy: -5.17 eV per atom